Record 1
# SrYO2 (PBE, optimized geometry)
# Space-group type: R3m (160)
# Distance to the lowest polymorph of the same formula: 0.112 eV per atom
# Uncorrected formation energy: -2.635 eV per atom
data_SrYO2
_chemical_formula_sum 'Sr1 Y1 O2'
_cell_length_a 3.491
_cell_length_b 3.491
_cell_length_c 6.521
_cell_angle_alpha 74.48
_cell_angle_beta 74.48
_cell_angle_gamma 60.00
_symmetry_space_group_name_H-M 'P 1'
_symmetry_Int_Tables_number 1
loop_
_symmetry_equiv_pos_as_xyz
'x,y,z'
loop_
_atom_site_label
_atom_site_type_symbol
_atom_site_fract_x
_atom_site_fract_y
_atom_site_fract_z
_atom_site_occupancy
O1 O 0.267 0.267 0.199 1
O2 O 0.068 0.068 0.796 1
Sr1 Sr 0.495 0.495 0.515 1
Y1 Y 0.670 0.670 0.990 1


Record 2
# SrYO2 (PBE, optimized geometry)
# Space-group type: Fm-3m (225)
# Distance to the lowest polymorph of the same formula: 0.649 eV per atom
# Uncorrected formation energy: -2.098 eV per atom
data_SrYO2
_chemical_formula_sum 'Sr1 Y1 O2'
_cell_length_a 4.298
_cell_length_b 4.298
_cell_length_c 4.298
_cell_angle_alpha 60.00
_cell_angle_beta 60.00
_cell_angle_gamma 60.00
_symmetry_space_group_name_H-M 'P 1'
_symmetry_Int_Tables_number 1
loop_
_symmetry_equiv_pos_as_xyz
'x,y,z'
loop_
_atom_site_label
_atom_site_type_symbol
_atom_site_fract_x
_atom_site_fract_y
_atom_site_fract_z
_atom_site_occupancy
Y1 Y 0.500 0.500 0.500 1
Sr1 Sr 0.000 0.000 0.000 1
O1 O 0.250 0.250 0.250 1
O2 O 0.750 0.750 0.750 1


Record 3
# SrY2O2 (PBE, optimized geometry)
# Space-group type: I4/mmm (139)
# Distance to the lowest polymorph of the same formula: 0.000 eV per atom
# Uncorrected formation energy: -2.055 eV per atom
data_SrY2O2
_chemical_formula_sum 'Sr1 Y2 O2'
_cell_length_a 4.504
_cell_length_b 4.504
_cell_length_c 7.167
_cell_angle_alpha 71.68
_cell_angle_beta 71.68
_cell_angle_gamma 90.00
_symmetry_space_group_name_H-M 'P 1'
_symmetry_Int_Tables_number 1
loop_
_symmetry_equiv_pos_as_xyz
'x,y,z'
loop_
_atom_site_label
_atom_site_type_symbol
_atom_site_fract_x
_atom_site_fract_y
_atom_site_fract_z
_atom_site_occupancy
O1 O 0.791 0.791 0.417 1
O2 O 0.209 0.209 0.583 1
Y1 Y 0.750 0.250 0.500 1
Y2 Y 0.250 0.750 0.500 1
Sr1 Sr 0.000 0.000 0.000 1


Record 4
# SrY3O (PBE, optimized geometry)
# Space-group type: Pm-3m (221)
# Distance to the lowest polymorph of the same formula: 0.000 eV per atom
# Uncorrected formation energy: -0.859 eV per atom
data_SrY3O
_chemical_formula_sum 'Sr1 Y3 O1'
_cell_length_a 5.083
_cell_length_b 5.083
_cell_length_c 5.083
_cell_angle_alpha 90.00
_cell_angle_beta 90.00
_cell_angle_gamma 90.00
_symmetry_space_group_name_H-M 'P 1'
_symmetry_Int_Tables_number 1
loop_
_symmetry_equiv_pos_as_xyz
'x,y,z'
loop_
_atom_site_label
_atom_site_type_symbol
_atom_site_fract_x
_atom_site_fract_y
_atom_site_fract_z
_atom_site_occupancy
Y1 Y 0.000 0.500 0.000 1
Y2 Y 0.000 0.000 0.500 1
Y3 Y 0.500 0.000 0.000 1
O1 O 0.000 0.000 0.000 1
Sr1 Sr 0.500 0.500 0.500 1


Record 5
# Sr2YO2 (PBE, optimized geometry)
# Space-group type: I4/mmm (139)
# Distance to the lowest polymorph of the same formula: 0.000 eV per atom
# Uncorrected formation energy: -1.475 eV per atom
data_Sr2YO2
_chemical_formula_sum 'Sr2 Y1 O2'
_cell_length_a 4.521
_cell_length_b 4.521
_cell_length_c 7.007
_cell_angle_alpha 71.18
_cell_angle_beta 71.18
_cell_angle_gamma 90.00
_symmetry_space_group_name_H-M 'P 1'
_symmetry_Int_Tables_number 1
loop_
_symmetry_equiv_pos_as_xyz
'x,y,z'
loop_
_atom_site_label
_atom_site_type_symbol
_atom_site_fract_x
_atom_site_fract_y
_atom_site_fract_z
_atom_site_occupancy
Y1 Y 0.000 0.000 0.000 1
Sr1 Sr 0.679 0.679 0.642 1
Sr2 Sr 0.321 0.321 0.358 1
O1 O 0.250 0.750 0.500 1
O2 O 0.750 0.250 0.500 1


Record 6
# Sr2YO2 (PBE, optimized geometry)
# Space-group type: P4/mbm (127)
# Distance to the lowest polymorph of the same formula: 0.672 eV per atom
# Uncorrected formation energy: -0.803 eV per atom
data_Sr2YO2
_chemical_formula_sum 'Sr4 Y2 O4'
_cell_length_a 7.882
_cell_length_b 7.882
_cell_length_c 3.206
_cell_angle_alpha 90.00
_cell_angle_beta 90.00
_cell_angle_gamma 90.00
_symmetry_space_group_name_H-M 'P 1'
_symmetry_Int_Tables_number 1
loop_
_symmetry_equiv_pos_as_xyz
'x,y,z'
loop_
_atom_site_label
_atom_site_type_symbol
_atom_site_fract_x
_atom_site_fract_y
_atom_site_fract_z
_atom_site_occupancy
Sr1 Sr 0.141 0.359 0.000 1
Sr2 Sr 0.859 0.641 0.000 1
Sr3 Sr 0.359 0.859 0.000 1
Sr4 Sr 0.641 0.141 0.000 1
O1 O 0.652 0.848 0.500 1
O2 O 0.348 0.152 0.500 1
O3 O 0.152 0.652 0.500 1
O4 O 0.848 0.348 0.500 1
Y1 Y 0.000 0.000 0.000 1
Y2 Y 0.500 0.500 0.000 1


Record 7
# SrY2O (PBE, optimized geometry)
# Space-group type: R-3m (166)
# Uncorrected formation energy: -1.153 eV per atom
data_SrY2O
_chemical_formula_sum 'Sr1 Y2 O1'
_cell_length_a 3.602
_cell_length_b 3.602
_cell_length_c 9.731
_cell_angle_alpha 79.34
_cell_angle_beta 79.34
_cell_angle_gamma 60.00
_symmetry_space_group_name_H-M 'P 1'
_symmetry_Int_Tables_number 1
loop_
_symmetry_equiv_pos_as_xyz
'x,y,z'
loop_
_atom_site_label
_atom_site_type_symbol
_atom_site_fract_x
_atom_site_fract_y
_atom_site_fract_z
_atom_site_occupancy
Sr1 Sr 0.000 0.000 0.000 1
Y1 Y 0.878 0.878 0.365 1
Y2 Y 0.122 0.122 0.635 1
O1 O 0.500 0.500 0.500 1


Record 8
# SrY2O2 (PBE, optimized geometry)
# Space-group type: P4/mbm (127)
# Distance to the lowest polymorph of the same formula: 0.163 eV per atom
# Uncorrected formation energy: -1.891 eV per atom
data_SrY2O2
_chemical_formula_sum 'Sr2 Y4 O4'
_cell_length_a 7.578
_cell_length_b 7.578
_cell_length_c 4.320
_cell_angle_alpha 90.00
_cell_angle_beta 90.00
_cell_angle_gamma 90.00
_symmetry_space_group_name_H-M 'P 1'
_symmetry_Int_Tables_number 1
loop_
_symmetry_equiv_pos_as_xyz
'x,y,z'
loop_
_atom_site_label
_atom_site_type_symbol
_atom_site_fract_x
_atom_site_fract_y
_atom_site_fract_z
_atom_site_occupancy
Y1 Y 0.829 0.329 0.500 1
Y2 Y 0.329 0.171 0.500 1
Y3 Y 0.671 0.829 0.500 1
Y4 Y 0.171 0.671 0.500 1
O1 O 0.293 0.207 0.000 1
O2 O 0.793 0.293 0.000 1
O3 O 0.707 0.793 0.000 1
O4 O 0.207 0.707 0.000 1
Sr1 Sr 0.500 0.500 0.000 1
Sr2 Sr 0.000 0.000 0.000 1